[1]
Na3DyRh2O6: relaxed, PBE.

Values from the calculation:
total DFT energy (no corrections)	-145.89	eV for the cell shown
ΔE_f (raw)	-160	kJ/mol of atoms
spin magnetization	0.00	μB/cell

Lattice parameters (Å, degrees): 5.487 9.508 5.821 90.00 108.18 90.00
Space group C2/m (No. 12)
Unique sites:
Na 0.000 0.000 0.000 x2
Na 0.000 0.328 0.000 x4
Dy 0.000 0.500 0.500 x2
Rh 0.000 0.167 0.500 x4
O 0.217 0.000 0.715 x4
O 0.247 0.323 0.712 x8



[2]
Tm2GaNi6: relaxed, PBE.

Values from the calculation:
relative energy among the computed polymorphs	66	meV/atom
total DFT energy (no corrections)	-200.65	eV for the cell shown
DFT formation energy	-0.3893	eV/atom
spin magnetization	0.00	μB/cell

Lattice parameters (Å, degrees): 8.109 8.109 8.109 90.00 90.00 90.00
Space group Fm-3m (No. 225)
Unique sites:
Tm 0.250 0.250 0.250 x8
Ga 0.000 0.000 0.000 x4
Ni 0.000 0.000 0.286 x24



[3]
Re2SbPb: relaxed, PBE.

Values from the calculation:
relative energy among the computed polymorphs	840	meV/atom
total DFT energy (no corrections)	-56.11	eV for the cell shown
ΔE_f (raw)	113	kJ/mol of atoms
spin magnetization	0.00	μB/cell

Lattice parameters (Å, degrees): 3.253 5.380 8.923 90.00 90.00 90.00
Space group Cmmm (No. 65)
Unique sites:
Re 0.000 0.000 0.235 x4
Sb 0.000 0.500 0.000 x2
Pb 0.000 0.500 0.500 x2



[4]
LiAc2US5: relaxed, PBE.

Values from the calculation:
total DFT energy (no corrections)	-232.71	eV for the cell shown
ΔE_f (raw)	-173	kJ/mol of atoms
spin magnetization	10.82	μB/cell

Lattice parameters (Å, degrees): 4.137 17.049 12.257 90.00 90.00 90.00
Space group Cmc2_1 (No. 36)
Unique sites:
Li 0.000 0.020 0.000 x4
Ac 0.000 0.372 0.829 x4
Ac 0.000 0.390 0.215 x4
U 0.000 0.301 0.532 x4
S 0.000 0.002 0.307 x4
S 0.000 0.138 0.527 x4
S 0.000 0.191 0.882 x4
S 0.000 0.211 0.183 x4
S 0.000 0.451 0.585 x4